[1]
Below is a geometry-optimized Al2CdAu structure, with properties calculated at the PBE level.

POSCAR file:
```
Al2CdAu
1.0
-3.212 2.820 -7.919
-0.775 1.147 -8.892
-3.486 -0.257 -8.292
Cd Au Al
1 1 2
Direct
0.750 0.750 0.750
0.507 0.507 0.507
0.247 0.247 0.247
0.996 0.996 0.996
```

Properties
ΔE_f	-0.063	eV/atom
raw total energy	-11.931	eV for the cell shown
total magnetic moment	0.0	μB/cell
N(E_F)	0.611	states/eV per atom


[2]
Below is a geometry-optimized Al2Cd5Au12 structure, with properties calculated at the PBE level.

POSCAR file:
```
Al2Cd5Au12
1.0
8.857 0.000 0.000
-4.429 8.024 -0.894
0.000 -3.780 5.686
Au Al Cd
12 2 5
Direct
0.635 0.730 0.500
0.499 0.999 0.765
0.095 0.730 0.500
0.882 0.765 0.819
0.620 0.713 0.061
0.501 0.001 0.235
0.380 0.287 0.939
0.093 0.713 0.061
0.118 0.235 0.181
0.907 0.287 0.939
0.905 0.270 0.500
0.365 0.270 0.500
0.748 0.000 0.000
0.252 0.000 0.000
0.000 0.000 0.500
0.307 0.614 0.209
0.300 0.600 0.705
0.693 0.386 0.791
0.700 0.400 0.295
```

Properties
ΔE_f	-0.178	eV/atom
raw total energy	-54.762	eV for the cell shown
total magnetic moment	0.0	μB/cell
N(E_F)	0.337	states/eV per atom


[3]
Below is a geometry-optimized AlCd3Au structure, with properties calculated at the PBE level.

POSCAR file:
```
AlCd3Au
1.0
-3.054 2.692 -3.188
0.036 -3.934 -3.356
-4.172 -2.004 2.305
Cd Au Al
3 1 1
Direct
0.500 0.000 0.000
0.000 0.500 0.000
0.000 0.000 0.500
0.500 0.500 0.500
0.000 0.000 0.000
```

Properties
ΔE_f	0.427	eV/atom
energy above the most stable polymorph in this dataset	0.56	eV/f.u.
raw total energy	-7.631	eV for the cell shown
total magnetic moment	0.0	μB/cell
N(E_F)	0.163	states/eV per atom


[4]
Below is a geometry-optimized AlCd2Au structure, with properties calculated at the PBE level.

POSCAR file:
```
AlCd2Au
1.0
3.021 0.002 0.000
-0.002 3.021 0.000
0.000 0.000 8.645
Al Cd Au
1 2 1
Direct
0.500 0.500 0.250
0.000 0.000 0.997
0.000 0.000 0.503
0.500 0.500 0.750
```

Properties
ΔE_f	0.008	eV/atom
raw total energy	-8.817	eV for the cell shown
total magnetic moment	0.0	μB/cell
N(E_F)	0.293	states/eV per atom